[1]
A relaxed structure of Ba6SeN3, computed with PBE.

a = 11.7142 Å, b = 4.1425 Å, c = 14.5463 Å
α = 90.00°, β = 108.29°, γ = 90.00°
Space group P2_1/m (No. 11)
Symmetry-distinct sites (fractional):
Ba 0.0096 0.2500 0.2711
Ba 0.1408 0.2500 0.5511
Ba 0.1680 0.7500 0.1019
Ba 0.2929 0.7500 0.3816
Ba 0.3644 0.7500 0.9286
Ba 0.4583 0.2500 0.2232
Se 0.1258 0.2500 0.9123
N 0.0796 0.7500 0.4227
N 0.2288 0.2500 0.2501
N 0.4639 0.7500 0.1107

Values from the calculation:
DFT total energy, eV per cell: -94.17
D(E_F), states/eV/f.u.: 1.49

[2]
A relaxed structure of NaS2N2, computed with PBE.

a = 4.2701 Å, b = 4.2701 Å, c = 5.5806 Å
α = 90.00°, β = 90.00°, γ = 90.00°
Space group P4/mmm (No. 123)
Symmetry-distinct sites (fractional):
Na 0.0000 0.0000 0.0000
S 0.0000 0.0000 0.5000
S 0.5000 0.5000 0.5000
N 0.0000 0.5000 0.0000

Values from the calculation:
D(E_F), states/eV/f.u.: 2.52
ΔE to the lowest computed polymorph, eV per atom: 2.559

[3]
A relaxed structure of Tl2GaAu, computed with PBE.

a = 4.6976 Å, b = 4.6976 Å, c = 4.4484 Å
α = 90.00°, β = 90.00°, γ = 90.00°
Space group P4/mmm (No. 123)
Symmetry-distinct sites (fractional):
Tl 0.0000 0.5000 0.0000
Ga 0.0000 0.0000 0.5000
Au 0.5000 0.5000 0.5000

Values from the calculation:
Energy of formation from the pure elements, kJ/mol of atoms: 7
D(E_F), states/eV/f.u.: 1.30
ΔE to the lowest computed polymorph, eV per atom: 0.124

[4]
A relaxed structure of Tb8NiSb2, computed with PBE.

a = 18.6135 Å, b = 4.6098 Å, c = 7.3662 Å
α = 90.00°, β = 97.49°, γ = 90.00°
Space group C2/m (No. 12)
Symmetry-distinct sites (fractional):
Tb 0.0026 0.0000 0.2807
Tb 0.0951 0.5000 0.0171
Tb 0.1429 0.5000 0.5348
Tb 0.2142 0.0000 0.8490
Ni 0.0000 0.5000 0.5000
Sb 0.1826 0.0000 0.2733

Values from the calculation:
DFT total energy, eV per cell: -111.68
D(E_F), states/eV/f.u.: 11.98

[5]
A relaxed structure of CaSmErTh, computed with PBE.

a = 8.1418 Å, b = 8.1418 Å, c = 8.1418 Å
α = 90.00°, β = 90.00°, γ = 90.00°
Space group F-43m (No. 216)
Symmetry-distinct sites (fractional):
Ca 0.0000 0.0000 0.0000
Sm 0.2500 0.2500 0.7500
Er 0.2500 0.2500 0.2500
Th 0.0000 0.0000 0.5000

Values from the calculation:
Energy of formation from the pure elements, kJ/mol of atoms: 22
D(E_F), states/eV/f.u.: 8.38

[6]
A relaxed structure of Y6TeRu2, computed with PBE.

a = 9.4762 Å, b = 9.6407 Å, c = 10.4534 Å
α = 90.00°, β = 90.00°, γ = 90.00°
Space group Immm (No. 71)
Symmetry-distinct sites (fractional):
Y 0.0000 0.2053 0.2375
Y 0.1837 0.5000 0.1717
Y 0.2169 0.3187 0.5000
Te 0.0000 0.0000 0.0000
Te 0.0000 0.0000 0.5000
Ru 0.0000 0.3330 0.0000
Ru 0.0000 0.5000 0.3766

Values from the calculation:
DFT total energy, eV per cell: -258.98
D(E_F), states/eV/f.u.: 7.28

[7]
A relaxed structure of LaPm2Te, computed with PBE.

a = 4.0264 Å, b = 4.0264 Å, c = 30.1542 Å
α = 90.00°, β = 90.00°, γ = 120.00°
Space group R3m (No. 160, hexagonal axes)
Symmetry-distinct sites (fractional):
La 0.0000 0.0000 0.0000
Pm 0.0000 0.0000 0.5700
Pm 0.0000 0.0000 0.7644
Te 0.0000 0.0000 0.1673

Values from the calculation:
D(E_F), states/eV/f.u.: 4.92
ΔE to the lowest computed polymorph, eV per atom: 0.137

[8]
A relaxed structure of Ta2TcGe2, computed with PBE.

a = 6.4171 Å, b = 6.4171 Å, c = 3.9660 Å
α = 90.00°, β = 90.00°, γ = 90.00°
Space group P4/mbm (No. 127)
Symmetry-distinct sites (fractional):
Ta 0.1623 0.3377 0.0000
Tc 0.0000 0.0000 0.5000
Ge 0.1411 0.6411 0.5000

Values from the calculation:
Energy of formation from the pure elements, kJ/mol of atoms: -16
D(E_F), states/eV/f.u.: 2.86